A plane-wave DFT calculation with GGA-PBE was carried out for a relaxed structure of BeNbP2Se.

Computed properties:
Raw formation energy: 19.64 kcal/mol of atoms
Total magnetic moment: 0.0 μB per formula unit
VASP energy: -0.3505 Ry per atom

Cell: 4.789 4.789 4.718 Å, 90.00 90.00 90.00°
Positions (direct):
Be  0.000  0.000  0.000
Nb  0.000  0.000  0.500
P  0.000  0.500  0.500
P  0.500  0.000  0.500
Se  0.500  0.500  0.000